Here is a relaxed structure of HfCrRe2Ni from Alexandria. Energies are from PBE-GGA.

Properties
Its energy of formation is 1.277 eV per atom. The calculation puts the density of states at the Fermi level at 4.336 states/eV/cell.

Cell: 4.407 4.671 4.407 Å, 90.00 90.00 90.00°
Sites, in units of the cell vectors:
Cr: 0.000 0.000 0.000
Ni: 0.500 0.500 0.500
Re: 0.500 0.000 0.000
Re: 0.000 0.000 0.500
Hf: 0.000 0.500 0.000